1.
An optimized crystal structure of NaTeN2Cl, computed with GGA-PBE.

```
5
Lattice="4.504 0.000 0.000 0.000 4.504 0.000 0.000 0.000 6.447" Properties=species:S:1:pos:R:3 pbc="T T T"
Na 0.000 0.000 0.000
Te 0.000 0.000 3.224
N 0.000 2.252 0.000
N 2.252 0.000 0.000
Cl 2.252 2.252 3.224
```

Summary:
ΔE to the lowest computed polymorph ... 0 meV/atom
Final energy ... -2.7836 eV per atom
Raw formation energy ... 1808 meV/atom

2.
An optimized crystal structure of NaTe2NCl, computed with GGA-PBE.

```
5
Lattice="5.664 0.000 0.000 0.000 5.664 0.000 0.000 0.000 4.527" Properties=species:S:1:pos:R:3 pbc="T T T"
Na 0.000 0.000 0.000
Te 0.000 2.832 0.000
Te 2.832 0.000 0.000
N 0.000 0.000 2.264
Cl 2.832 2.832 2.264
```

Summary:
ΔE to the lowest computed polymorph ... 370 meV/atom
Final energy ... -2.3255 eV per atom
Raw formation energy ... 1229 meV/atom

3.
An optimized crystal structure of NaTe2NCl, computed with GGA-PBE.

```
5
Lattice="6.398 0.000 0.000 0.000 6.398 0.000 0.000 0.000 3.304" Properties=species:S:1:pos:R:3 pbc="T T T"
Na 0.000 0.000 0.000
Te 0.000 3.199 1.652
Te 3.199 0.000 1.652
N 3.199 3.199 0.000
Cl 3.199 3.199 1.652
```

Summary:
ΔE to the lowest computed polymorph ... 0 meV/atom
Final energy ... -2.6953 eV per atom
Raw formation energy ... 860 meV/atom

4.
An optimized crystal structure of NaTeN2Cl, computed with GGA-PBE.

```
5
Lattice="4.336 0.000 0.000 0.000 4.336 0.000 0.000 0.000 5.671" Properties=species:S:1:pos:R:3 pbc="T T T"
Na 0.000 0.000 0.000
Te 2.168 2.168 0.000
N 0.000 2.168 2.836
N 2.168 0.000 2.836
Cl 2.168 2.168 2.836
```

Summary:
ΔE to the lowest computed polymorph ... 8 meV/atom
Final energy ... -2.7756 eV per atom
Raw formation energy ... 1816 meV/atom

5.
An optimized crystal structure of NaTi5N5Cl5, computed with GGA-PBE.

```
32
Lattice="5.217 0.000 0.000 0.517 9.480 0.000 0.533 4.323 11.687" Properties=species:S:1:pos:R:3 pbc="T T T"
Na 0.265 3.161 2.790
Na 6.003 10.642 8.897
Ti 0.787 5.770 6.746
Ti 1.317 5.963 9.631
Ti 2.356 13.192 11.444
Ti 2.346 9.046 2.627
Ti 2.875 6.791 4.405
Ti 3.392 7.012 7.281
Ti 3.921 4.757 9.060
Ti 3.911 0.611 0.243
Ti 4.951 7.840 2.056
Ti 5.481 8.033 4.941
N 0.781 9.384 1.356
N 1.308 7.524 3.326
N 1.830 7.300 6.017
N 2.352 5.476 8.003
N 2.878 5.241 10.693
N 3.390 8.562 0.994
N 3.916 8.327 3.684
N 4.437 6.502 5.669
N 4.959 6.278 8.361
N 5.486 4.418 10.331
Cl 0.775 6.607 0.100
Cl 1.300 10.313 4.531
Cl 1.822 4.520 4.795
Cl 2.342 8.254 9.229
Cl 3.394 11.916 9.456
Cl 2.874 1.887 2.231
Cl 3.925 5.549 2.458
Cl 4.445 9.283 6.892
Cl 4.968 3.490 7.155
Cl 5.493 7.196 11.587
```

Summary:
Final energy ... -7.2981 eV per atom
Raw formation energy ... -1570 meV/atom

6.
An optimized crystal structure of NaVN2Cl, computed with GGA-PBE.

```
5
Lattice="3.780 0.000 0.000 0.000 3.780 0.000 0.000 0.000 5.135" Properties=species:S:1:pos:R:3 pbc="T T T"
Na 0.000 0.000 0.000
V 1.890 1.890 2.568
N 0.000 1.890 2.568
N 1.890 0.000 2.568
Cl 1.890 1.890 0.000
```

Summary:
Final energy ... -6.1274 eV per atom
Raw formation energy ... -340 meV/atom

7.
An optimized crystal structure of NaW6NCl18, computed with GGA-PBE.

```
52
Lattice="9.338 0.000 0.000 -4.669 8.087 0.000 0.000 0.000 18.219" Properties=species:S:1:pos:R:3 pbc="T T T"
Na 0.000 0.000 0.000
Na 0.000 0.000 9.110
W -1.511 5.667 3.005
W -1.511 5.667 6.105
W 0.516 3.944 3.005
W 0.516 3.944 6.105
W 3.674 1.525 12.114
W 3.674 1.525 15.215
W 0.995 6.562 3.005
W 0.995 6.562 6.105
W 4.152 4.142 12.114
W 4.152 4.142 15.215
W 6.180 2.419 12.114
W 6.180 2.419 15.215
N 0.000 5.391 4.555
N 4.669 2.696 13.664
Cl -1.043 2.048 10.971
Cl -1.043 2.048 16.358
Cl -1.788 3.770 13.664
Cl -0.579 2.376 4.555
Cl -1.211 3.957 1.335
Cl -1.211 3.957 7.774
Cl -2.322 7.400 4.555
Cl -2.373 7.966 10.971
Cl -2.373 7.966 16.358
Cl 1.252 1.928 1.861
Cl 1.252 1.928 7.248
Cl 1.768 1.689 13.664
Cl -0.637 7.157 1.335
Cl -0.637 7.157 7.774
Cl -0.510 7.750 13.664
Cl 2.371 3.433 4.555
Cl 2.822 3.027 10.445
Cl 2.822 3.027 16.884
Cl 1.847 5.060 1.335
Cl 1.847 5.060 7.774
Cl 2.298 4.654 13.664
Cl 5.179 0.337 4.555
Cl 5.305 0.930 10.445
Cl 5.305 0.930 16.884
Cl 2.901 6.397 4.555
Cl 3.417 6.159 10.971
Cl 3.417 6.159 16.358
Cl 7.042 0.121 1.861
Cl 7.042 0.121 7.248
Cl 6.991 0.687 13.664
Cl 5.880 4.130 10.445
Cl 5.880 4.130 16.884
Cl 5.248 5.711 13.664
Cl 6.457 4.317 4.555
Cl 5.712 6.038 1.861
Cl 5.712 6.038 7.248
```

Summary:
Final energy ... -5.5279 eV per atom
Raw formation energy ... -889 meV/atom

8.
An optimized crystal structure of NbNCl2, computed with GGA-PBE.

```
8
Lattice="-4.720 4.720 1.955 4.720 -4.720 1.955 4.720 4.720 -1.955" Properties=species:S:1:pos:R:3 pbc="T T T"
Nb 0.000 0.000 0.000
Nb 0.000 4.720 0.978
N 4.720 0.000 0.978
N 0.000 0.000 1.955
Cl 0.824 2.360 0.489
Cl -2.360 3.896 1.466
Cl -0.824 7.080 0.489
Cl 2.360 5.543 1.466
```

Summary:
ΔE to the lowest computed polymorph ... 0 meV/atom
Final energy ... -6.0095 eV per atom
Raw formation energy ... -487 meV/atom

9.
An optimized crystal structure of NbNCl2, computed with GGA-PBE.

```
4
Lattice="0.000 3.042 3.042 3.042 0.000 3.042 3.042 3.042 0.000" Properties=species:S:1:pos:R:3 pbc="T T T"
Nb 0.000 0.000 0.000
N 3.042 3.042 3.042
Cl 1.521 1.521 1.521
Cl 4.563 4.563 4.563
```

Summary:
ΔE to the lowest computed polymorph ... 1322 meV/atom
Final energy ... -4.6878 eV per atom
Raw formation energy ... 834 meV/atom

10.
An optimized crystal structure of NbN2Cl4, computed with GGA-PBE.

```
7
Lattice="7.015 -1.697 0.000 7.015 1.697 0.000 -6.410 0.000 9.777" Properties=species:S:1:pos:R:3 pbc="T T T"
Nb 0.000 0.000 0.000
N -1.504 0.000 5.719
N 9.124 0.000 4.057
Cl -0.678 0.000 2.218
Cl -1.161 0.000 9.236
Cl 8.780 0.000 0.540
Cl 8.298 0.000 7.558
```

Summary:
ΔE to the lowest computed polymorph ... 0 meV/atom
Final energy ... -4.2611 eV per atom
Raw formation energy ... 611 meV/atom

11.
An optimized crystal structure of Nb3NCl7, computed with GGA-PBE.

```
11
Lattice="6.887 0.000 0.000 -3.443 5.964 0.000 0.000 0.000 6.555" Properties=species:S:1:pos:R:3 pbc="T T T"
Nb -1.434 3.148 0.000
Nb 1.434 3.148 0.000
Nb 0.000 5.632 0.000
N 0.000 3.976 1.172
Cl 0.000 1.980 4.958
Cl -1.729 4.974 4.958
Cl 1.724 0.995 1.366
Cl 3.443 1.988 5.195
Cl 1.729 4.974 4.958
Cl 5.163 0.995 1.366
Cl 3.443 3.974 1.366
```

Summary:
Final energy ... -5.7793 eV per atom
Raw formation energy ... -1101 meV/atom

12.
An optimized crystal structure of NbN2Cl4, computed with GGA-PBE.

```
7
Lattice="-2.473 2.473 8.669 2.473 -2.473 8.669 2.473 2.473 -8.669" Properties=species:S:1:pos:R:3 pbc="T T T"
Nb 0.000 0.000 0.000
N 0.000 0.000 5.748
N 0.000 0.000 11.590
Cl 2.473 0.000 0.000
Cl 0.000 0.000 2.331
Cl 0.000 2.473 0.000
Cl 0.000 0.000 15.006
```

Summary:
ΔE to the lowest computed polymorph ... 93 meV/atom
Final energy ... -4.1681 eV per atom
Raw formation energy ... 704 meV/atom

13.
An optimized crystal structure of NbNCl, computed with GGA-PBE.

```
6
Lattice="3.358 0.000 0.000 0.000 4.224 0.000 -1.599 0.000 8.603" Properties=species:S:1:pos:R:3 pbc="T T T"
Nb 0.040 1.056 3.656
Nb 1.718 3.168 4.947
N 0.040 3.168 3.632
N 1.719 1.056 4.970
Cl 0.040 3.168 6.864
Cl 1.718 1.056 1.739
```

Summary:
Final energy ... -7.8232 eV per atom
Raw formation energy ... -1076 meV/atom

14.
An optimized crystal structure of NbNCl, computed with GGA-PBE.

```
6
Lattice="2.154 -8.723 0.000 2.154 8.723 0.000 0.000 0.000 3.382" Properties=species:S:1:pos:R:3 pbc="T T T"
Nb 2.154 4.946 2.536
Nb 2.154 -4.946 0.845
N 2.154 3.749 0.845
N 2.154 -3.749 2.536
Cl 2.154 6.889 0.845
Cl 2.154 -6.889 2.536
```

Summary:
Final energy ... -7.8294 eV per atom
Raw formation energy ... -1082 meV/atom

15.
An optimized crystal structure of NbNCl2, computed with GGA-PBE.

```
4
Lattice="1.615 0.932 10.204 -1.615 0.932 10.204 0.000 -1.865 10.204" Properties=species:S:1:pos:R:3 pbc="T T T"
Nb 0.000 0.000 0.000
N 0.000 0.000 15.306
Cl 0.000 0.000 11.954
Cl 0.000 0.000 18.658
```

Summary:
ΔE to the lowest computed polymorph ... 1055 meV/atom
Final energy ... -4.9543 eV per atom
Raw formation energy ... 568 meV/atom

16.
An optimized crystal structure of NbP2NCl12, computed with GGA-PBE.

```
32
Lattice="7.091 -4.607 0.000 7.091 4.607 0.000 -3.869 0.000 15.568" Properties=species:S:1:pos:R:3 pbc="T T T"
Nb 0.000 0.000 0.000
Nb -1.935 0.000 7.784
P 2.746 0.460 11.264
P 4.681 -0.460 3.480
P 5.632 0.460 12.088
P 7.566 -0.460 4.304
N 4.189 0.883 11.676
N 6.123 -0.883 3.892
Cl 0.560 0.362 2.286
Cl -1.586 0.388 14.943
Cl -1.375 -0.362 10.070
Cl 1.983 1.795 10.035
Cl 0.349 -0.388 7.159
Cl 4.697 2.283 7.523
Cl 4.587 1.300 2.570
Cl 7.550 2.283 0.261
Cl 1.529 0.366 12.826
Cl 3.464 -0.366 5.042
Cl 6.394 1.795 13.317
Cl 7.660 1.300 5.214
Cl 2.652 -1.300 10.354
Cl 3.918 -1.795 2.251
Cl 6.848 0.366 10.526
Cl 8.783 -0.366 2.742
Cl 2.762 -2.283 15.307
Cl 5.725 -1.300 12.998
Cl 5.615 -2.283 8.045
Cl 9.963 0.388 8.409
Cl 8.329 -1.795 5.533
Cl 11.687 0.362 5.498
Cl 11.898 -0.388 0.625
Cl 9.752 -0.362 13.282
```

Summary:
Final energy ... -4.0857 eV per atom
Raw formation energy ... -875 meV/atom

17.
An optimized crystal structure of NbRu2NCl, computed with GGA-PBE.

```
5
Lattice="3.830 0.000 0.000 0.000 3.830 0.000 0.000 0.000 5.245" Properties=species:S:1:pos:R:3 pbc="T T T"
Nb 0.000 0.000 0.000
Ru 0.000 1.915 2.623
Ru 1.915 0.000 2.623
N 1.915 1.915 2.623
Cl 1.915 1.915 0.000
```

Summary:
Final energy ... -7.1967 eV per atom
Raw formation energy ... 562 meV/atom

18.
An optimized crystal structure of NbRuNCl2, computed with GGA-PBE.

```
5
Lattice="5.228 0.000 0.000 0.000 5.228 0.000 0.000 0.000 3.804" Properties=species:S:1:pos:R:3 pbc="T T T"
Nb 0.000 0.000 0.000
Ru 2.614 2.614 0.000
N 0.000 0.000 1.902
Cl 0.000 2.614 1.902
Cl 2.614 0.000 1.902
```

Summary:
Final energy ... -5.1098 eV per atom
Raw formation energy ... 1163 meV/atom

19.
An optimized crystal structure of NbS2NCl, computed with GGA-PBE.

```
5
Lattice="4.805 0.000 0.000 0.000 4.805 0.000 0.000 0.000 3.342" Properties=species:S:1:pos:R:3 pbc="T T T"
Nb 0.000 0.000 0.000
S 0.000 2.402 1.671
S 2.402 0.000 1.671
N 2.402 2.402 0.000
Cl 2.402 2.402 1.671
```

Summary:
ΔE to the lowest computed polymorph ... 1177 meV/atom
Final energy ... -4.2440 eV per atom
Raw formation energy ... 1455 meV/atom

20.
An optimized crystal structure of NbS2NCl, computed with GGA-PBE.

```
5
Lattice="4.776 0.000 0.000 0.000 4.776 0.000 0.000 0.000 5.019" Properties=species:S:1:pos:R:3 pbc="T T T"
Nb 0.000 0.000 0.000
S 0.000 2.388 0.000
S 2.388 0.000 0.000
N 2.388 2.388 2.509
Cl 0.000 0.000 2.509
```

Summary:
ΔE to the lowest computed polymorph ... 245 meV/atom
Final energy ... -5.1767 eV per atom
Raw formation energy ... 523 meV/atom

21.
An optimized crystal structure of NbS2NCl, computed with GGA-PBE.

```
5
Lattice="4.221 0.000 0.000 0.000 4.221 0.000 0.000 0.000 4.035" Properties=species:S:1:pos:R:3 pbc="T T T"
Nb 0.000 0.000 0.000
S 0.000 2.111 2.017
S 2.111 0.000 2.017
N 2.111 2.111 2.017
Cl 2.111 2.111 0.000
```

Summary:
ΔE to the lowest computed polymorph ... 671 meV/atom
Final energy ... -4.7502 eV per atom
Raw formation energy ... 949 meV/atom

22.
An optimized crystal structure of NbSN2Cl, computed with GGA-PBE.

```
5
Lattice="3.832 0.000 0.000 0.000 3.832 0.000 0.000 0.000 4.343" Properties=species:S:1:pos:R:3 pbc="T T T"
Nb 0.000 0.000 0.000
S 1.916 1.916 0.000
N 0.000 1.916 2.171
N 1.916 0.000 2.171
Cl 1.916 1.916 2.171
```

Summary:
ΔE to the lowest computed polymorph ... 1279 meV/atom
Final energy ... -4.6955 eV per atom
Raw formation energy ... 1843 meV/atom